(1)
Tb8Tm6Pu, optimized geometry, DFT PBE-GGA; SG = No. 147; crystal system = trigonal; D(E_F) = 1.9047 states/eV/atom; E = -4.943 eV per atom; E_form = 271 meV per atom
1.0
-6.307 -1.503 1.407
2.321 -8.865 0.937
0.284 5.630 7.285
Tm Pu Tb
6 1 8
Direct
0.605 0.676 0.076
0.395 0.324 0.924
0.395 0.600 0.676
0.395 0.076 0.400
0.605 0.924 0.600
0.605 0.400 0.324
0.500 0.000 0.000
0.112 0.310 0.327
0.888 0.690 0.673
0.188 0.667 0.333
0.888 0.327 0.017
0.888 0.983 0.310
0.112 0.017 0.690
0.112 0.673 0.983
0.812 0.333 0.667

(2)
Y2Ga3Ni, optimized geometry, DFT PBE-GGA; SG = No. 156; crystal system = trigonal; D(E_F) = 0.5224 states/eV/atom; E = -5.266 eV per atom; E_form = -634 meV per atom
1.0
-2.437 3.342 -1.063
-1.516 -3.970 -0.426
-2.718 0.276 7.102
Ga Y Ni
3 2 1
Direct
0.667 0.333 0.462
0.000 0.000 0.545
0.667 0.333 0.011
0.333 0.667 0.771
0.333 0.667 0.236
0.000 0.000 0.975

(3)
LiV2ZnBr, optimized geometry, DFT PBE-GGA; SG = No. 123; crystal system = tetragonal; energy relative to the elements, uncorrected = 729 meV/atom; D(E_F) = 1.2831 states/eV/atom; E = -3.891 eV per atom
1.0
-3.272 -2.903 -1.590
-0.823 -1.338 4.135
-3.195 3.354 0.449
Zn V Li Br
1 2 1 1
Direct
0.500 0.500 0.500
0.500 0.000 0.000
0.000 0.000 0.500
0.000 0.500 0.000
0.000 0.000 0.000

(4)
PrNdY2Er2, optimized geometry, DFT PBE-GGA; SG = No. 58; crystal system = orthorhombic; D(E_F) = 1.6308 states/eV/atom; E = -4.997 eV per atom; E_form = 270 meV per atom
1.0
3.429 0.000 0.000
0.000 6.577 0.000
0.000 0.000 17.984
Er Pr Nd Y
4 2 2 4
Direct
0.500 0.222 0.649
0.500 0.778 0.351
0.000 0.722 0.851
0.000 0.278 0.149
0.500 0.500 0.500
0.000 0.000 0.000
0.500 0.500 0.000
0.000 0.000 0.500
0.000 0.223 0.813
0.500 0.723 0.687
0.500 0.277 0.313
0.000 0.777 0.187

(5)
NpTe2Pd, optimized geometry, DFT PBE-GGA; SG = No. 160; crystal system = trigonal; energy relative to the elements, uncorrected = -361 meV/atom; D(E_F) = 2.5859 states/eV/atom; E = -6.465 eV per atom
1.0
-3.553 2.227 -0.517
-2.322 1.082 3.359
1.579 6.882 1.531
Te Np Pd
2 1 1
Direct
0.258 0.258 0.225
0.072 0.072 0.784
0.498 0.498 0.505
0.671 0.671 0.986

(6)
BaCaGdNbO6, optimized geometry, DFT PBE-GGA; SG = No. 216; crystal system = cubic; energy relative to the elements, uncorrected = -2894 meV/atom; D(E_F) = 0.0000 states/eV/atom; E = -8.676 eV per atom
1.0
-1.848 -5.681 0.810
-4.415 -1.203 3.925
-5.422 -1.720 -1.997
O Ca Ba Gd Nb
6 1 1 1 1
Direct
0.736 0.264 0.264
0.264 0.736 0.736
0.264 0.736 0.264
0.264 0.264 0.736
0.736 0.736 0.264
0.736 0.264 0.736
0.750 0.750 0.750
0.250 0.250 0.250
0.000 0.000 0.000
0.500 0.500 0.500

Question: Which formula does entry 5 have?
Answer: NpTe2Pd

Question: Which value of D(E_F) does entry 4 give?
Answer: 1.6308 states/eV/atom

Question: Which of these has the lowest D(E_F)?
Answer: BaCaGdNbO6

Question: Number 4 is which compound?
Answer: PrNdY2Er2